(1)
DFT (PBE) results for a relaxed CePm4Sm5 crystal.

Summary:
- uncorrected energy (eV/f.u.) = -46.0
- calculated volume (Å³ per cell) = 358
- E_form (eV per atom) = 0.253
- SG = No. 12

abc: 9.4946 9.4946 8.7957
angles: 117.16 117.16 30.87
Element x y z (fractional)
Ce (0.0000, 0.0000, 0.0000)
Pm (0.1774, 0.1774, 0.9309)
Pm (0.4670, 0.4670, 0.2135)
Pm (0.5330, 0.5330, 0.7865)
Pm (0.8226, 0.8226, 0.0691)
Sm (0.0000, 0.0000, 0.5000)
Sm (0.3317, 0.3317, 0.3845)
Sm (0.3330, 0.3330, 0.7811)
Sm (0.6670, 0.6670, 0.2189)
Sm (0.6683, 0.6683, 0.6155)

=====

(2)
DFT (PBE) results for a relaxed CePm4Sm15 crystal.

Summary:
- uncorrected energy (eV/f.u.) = -95.2
- calculated volume (Å³ per cell) = 677
- E_form (eV per atom) = 0.028
- SG = No. 123

abc: 5.1381 5.1381 25.6531
angles: 90.00 90.00 90.00
Element x y z (fractional)
Ce (0.0000, 0.0000, 0.0000)
Pm (0.0000, 0.0000, 0.1988)
Pm (0.0000, 0.0000, 0.3997)
Pm (0.0000, 0.0000, 0.6003)
Pm (0.0000, 0.0000, 0.8012)
Sm (0.0000, 0.5000, 0.0981)
Sm (0.0000, 0.5000, 0.2992)
Sm (0.0000, 0.5000, 0.5000)
Sm (0.0000, 0.5000, 0.7008)
Sm (0.0000, 0.5000, 0.9019)
Sm (0.5000, 0.0000, 0.0981)
Sm (0.5000, 0.0000, 0.2992)
Sm (0.5000, 0.0000, 0.5000)
Sm (0.5000, 0.0000, 0.7008)
Sm (0.5000, 0.0000, 0.9019)
Sm (0.5000, 0.5000, 0.0000)
Sm (0.5000, 0.5000, 0.1998)
Sm (0.5000, 0.5000, 0.3998)
Sm (0.5000, 0.5000, 0.6002)
Sm (0.5000, 0.5000, 0.8002)

=====

(3)
DFT (PBE) results for a relaxed CePm3Sm3 crystal.

Summary:
- uncorrected energy (eV/f.u.) = -33.0
- calculated volume (Å³ per cell) = 488
- E_form (eV per atom) = 0.199
- SG = No. 12

abc: 8.2191 8.2191 7.2218
angles: 90.01 90.01 89.11
Element x y z (fractional)
Ce (0.2125, 0.2125, 0.0009)
Ce (0.7875, 0.7875, 0.9991)
Pm (0.0006, 0.4994, 0.7553)
Pm (0.4994, 0.0006, 0.7553)
Pm (0.5003, 0.5003, 0.2478)
Pm (0.4997, 0.4997, 0.7522)
Pm (0.5006, 0.9994, 0.2447)
Pm (0.9994, 0.5006, 0.2447)
Sm (0.2104, 0.7896, 0.0000)
Sm (0.2099, 0.7901, 0.5000)
Sm (0.2193, 0.2193, 0.4989)
Sm (0.7807, 0.7807, 0.5011)
Sm (0.7896, 0.2104, 0.0000)
Sm (0.7901, 0.2099, 0.5000)

=====

(4)
DFT (PBE) results for a relaxed CePm4Sm4 crystal.

Summary:
- uncorrected energy (eV/f.u.) = -43.4
- calculated volume (Å³ per cell) = 304
- E_form (eV per atom) = 0.042
- SG = No. 139

abc: 8.1084 8.1084 8.1084
angles: 95.78 95.78 143.01
Element x y z (fractional)
Ce (0.0000, 0.0000, 0.0000)
Pm (0.0000, 0.3311, 0.3311)
Pm (0.0000, 0.6689, 0.6689)
Pm (0.3311, 0.0000, 0.3311)
Pm (0.6689, 0.0000, 0.6689)
Sm (0.3356, 0.3356, 0.6711)
Sm (0.3356, 0.6644, 0.0000)
Sm (0.6644, 0.3356, 0.0000)
Sm (0.6644, 0.6644, 0.3289)

=====

(5)
DFT (PBE) results for a relaxed CePm9Sm2 crystal.

Summary:
- uncorrected energy (eV/f.u.) = -57.7
- calculated volume (Å³ per cell) = 408
- E_form (eV per atom) = 0.035
- SG = No. 123

abc: 5.1430 5.1430 15.4233
angles: 90.00 90.00 90.00
Element x y z (fractional)
Ce (0.0000, 0.0000, 0.0000)
Pm (0.0000, 0.5000, 0.1641)
Pm (0.0000, 0.5000, 0.5000)
Pm (0.0000, 0.5000, 0.8359)
Pm (0.5000, 0.0000, 0.1641)
Pm (0.5000, 0.0000, 0.5000)
Pm (0.5000, 0.0000, 0.8359)
Pm (0.5000, 0.5000, 0.0000)
Pm (0.5000, 0.5000, 0.3334)
Pm (0.5000, 0.5000, 0.6666)
Sm (0.0000, 0.0000, 0.3325)
Sm (0.0000, 0.0000, 0.6676)

=====

(6)
DFT (PBE) results for a relaxed CePm2Sm crystal.

Summary:
- uncorrected energy (eV/f.u.) = -19.9
- calculated volume (Å³ per cell) = 133
- E_form (eV per atom) = 0.068
- SG = No. 160

abc: 11.9653 11.9653 11.9653
angles: 17.33 17.33 17.33
Element x y z (fractional)
Ce (0.0000, 0.0000, 0.0000)
Pm (0.2512, 0.2512, 0.2512)
Pm (0.4162, 0.4162, 0.4162)
Sm (0.8335, 0.8335, 0.8335)

=====

(7)
DFT (PBE) results for a relaxed CePm4Sm6 crystal.

Summary:
- uncorrected energy (eV/f.u.) = -49.9
- calculated volume (Å³ per cell) = 383
- E_form (eV per atom) = 0.303
- SG = No. 121

abc: 9.9139 9.9139 9.9139
angles: 140.98 140.98 56.37
Element x y z (fractional)
Ce (0.0000, 0.0000, 0.0000)
Pm (0.0127, 0.6333, 0.0000)
Pm (0.3667, 0.3667, 0.3794)
Pm (0.6333, 0.0127, 0.0000)
Pm (0.9873, 0.9873, 0.6206)
Sm (0.0000, 0.5000, 0.5000)
Sm (0.1883, 0.1883, 0.6343)
Sm (0.4460, 0.8117, 0.0000)
Sm (0.5000, 0.0000, 0.5000)
Sm (0.5540, 0.5540, 0.3657)
Sm (0.8117, 0.4460, 0.0000)

=====

(8)
DFT (PBE) results for a relaxed CePmSm6 crystal.

Summary:
- uncorrected energy (eV/f.u.) = -38.6
- calculated volume (Å³ per cell) = 268
- E_form (eV per atom) = 0.045
- SG = No. 123

abc: 5.1152 5.1152 10.2312
angles: 90.00 90.00 90.00
Element x y z (fractional)
Ce (0.0000, 0.0000, 0.0000)
Pm (0.0000, 0.0000, 0.5000)
Sm (0.0000, 0.5000, 0.2467)
Sm (0.0000, 0.5000, 0.7533)
Sm (0.5000, 0.0000, 0.2467)
Sm (0.5000, 0.0000, 0.7533)
Sm (0.5000, 0.5000, 0.0000)
Sm (0.5000, 0.5000, 0.5000)

=====

| no. | DOS at the Fermi energy (states/eV per cell) |
| --- | --- |
| 1 | 18.103 |
| 2 | 31.999 |
| 3 | 30.700 |
| 4 | 16.689 |
| 5 | 21.277 |
| 6 | 7.979 |
| 7 | 18.882 |
| 8 | 14.413 |